# PaSN2 PBE relaxed
# Crystal system = monoclinic
# Uncorrected formation energy = -5.388 eV per formula unit
# VASP energy = -8.915 eV per atom
data_PaSN2
_space_group_name_H-M_alt 'P 1'
_space_group_IT_number 1
_space_group_name_Hall 'P 1'
_cell_length_a 3.888
_cell_length_b 3.888
_cell_length_c 13.712
_cell_angle_alpha 91.11
_cell_angle_beta 91.11
_cell_angle_gamma 59.99
loop_
_atom_site_label
_atom_site_type_symbol
_atom_site_fract_x
_atom_site_fract_y
_atom_site_fract_z
_atom_site_occupancy
Pa1 Pa 0.162 0.162 0.392 1
Pa2 Pa 0.838 0.838 0.608 1
S1 S 0.490 0.490 0.279 1
S2 S 0.510 0.510 0.721 1
N1 N 0.056 0.056 0.030 1
N2 N 0.169 0.169 0.560 1
N3 N 0.831 0.831 0.440 1
N4 N 0.944 0.944 0.970 1